Zr2UAl | PBE-GGA | optimized geometry

Unit cell a=4.5879 b=4.5879 c=4.0049 alpha=90.00 beta=90.00 gamma=90.00
With the nearest neighbours (Å) after each atom.
Space group P4/mmm (No. 123)
Unique sites:
Zr 0.0000 0.5000 0.0000  4 Al 3.04, 4 U 3.04, 4 Zr 3.24
U 0.0000 0.0000 0.5000  8 Zr 3.04, 4 Al 3.24
Al 0.5000 0.5000 0.5000  8 Zr 3.04, 4 U 3.24

## Properties
The calculation puts the final energy at -32.35 eV for the cell shown. As for the formation enthalpy at 0 K: -0.22 eV/f.u. Its energy above the most stable polymorph in this dataset is 0 meV per atom.

***

La2PrIn2 | PBE-GGA | optimized geometry

Unit cell a=6.6565 b=6.6685 c=8.0827 alpha=90.00 beta=113.48 gamma=90.00
With the nearest neighbours (Å) after each atom.
Space group C2/m (No. 12)
Unique sites:
La 0.0000 0.2361 0.0000  4 La 3.15-3.52, 4 In 3.30-3.32
Pr 0.0000 0.0000 0.5000  8 In 3.59-3.62
In 0.0873 0.5000 0.6869  1 In 2.77

## Properties
The calculation puts the final energy at -42.88 eV for the cell shown. As for the formation enthalpy at 0 K: -1.33 eV/f.u. Its energy above the most stable polymorph in this dataset is 129 meV per atom.

***

NaZnGaBi | PBE-GGA | optimized geometry

Unit cell a=7.3228 b=7.3228 c=7.3228 alpha=90.00 beta=90.00 gamma=90.00
With the nearest neighbours (Å) after each atom.
Space group F-43m (No. 216)
Unique sites:
Na 0.0000 0.0000 0.0000  4 Zn 3.17, 4 Ga 3.17
Zn 0.2500 0.2500 0.7500  4 Na 3.17, 4 Bi 3.17
Ga 0.2500 0.2500 0.2500  4 Na 3.17, 4 Bi 3.17
Bi 0.0000 0.0000 0.5000  4 Ga 3.17, 4 Zn 3.17

## Properties
The calculation puts the final energy at -37.71 eV for the cell shown. As for the formation enthalpy at 0 K: 0.07 eV/f.u.

***

NdTm3Co2 | PBE-GGA | optimized geometry

Unit cell a=15.0863 b=4.9177 c=8.0226 alpha=90.00 beta=112.83 gamma=90.00
With the nearest neighbours (Å) after each atom.
Space group C2/m (No. 12)
Unique sites:
Nd 0.1311 0.0000 0.2189  5 Co 3.03-3.20, 5 Tm 3.19-3.39
Tm 0.0684 0.0000 0.7299  3 Co 2.74-3.00
Tm 0.1313 0.5000 0.5096  4 Co 2.77-2.83
Tm 0.1815 0.5000 0.9943  2 Co 2.59-2.77
Co 0.0045 0.5000 0.1508  1 Co 2.37, 1 Tm 2.59
Co 0.2240 0.0000 0.6331  5 Tm 2.74-2.83, 1 Nd 3.06

## Properties
The calculation puts the final energy at -130.75 eV for the cell shown. As for the formation enthalpy at 0 K: -0.29 eV/f.u.